A geometry-optimized FeAs2Br structure. Source: the Alexandria database, functional PBE.

Unit cell a=6.043 b=6.043 c=6.043 alpha=150.85 beta=132.63 gamma=56.59
Site moments in Bohr magnetons follow the coordinates.
Fractional positions:
As (0.936, 0.936, 0.000)  -0.06
As (0.564, 0.564, 0.000)  -0.06
Br (0.250, 0.750, 0.500)  0.07
Fe (0.750, 0.250, 0.500)  2.51

Its crystal system is orthorhombic. The mass density comes out at 6.04 Mg/m³. The calculation puts the density of states at the Fermi level at 3.3 states/eV/cell. The volume is 19.64 Å³/atom. The energy above the most stable polymorph in this dataset is 379.5 meV/atom. The uncorrected formation energy comes out at 350 meV/atom.